First-principles (PBE-GGA) data for crystalline La2CuP3Pt12 at its relaxed geometry, as listed in Alexandria.

Properties
Total magnetization (μB per atom): 0.00
Formation enthalpy at 0 K (meV per atom): -460.1
E_tot (eV per atom): -6.164
DOS at the Fermi energy (states/eV per atom): 0.3530

Cell lengths 8.2405, 8.2405, 18.1627 Å; angles 90.00, 90.00, 120.00 degrees
Space group R-3m (No. 166, hexagonal axes)
Unique sites:
La (0.0000, 0.0000, 0.1192) (multiplicity 6)
Cu (0.0000, 0.0000, 0.5000) (multiplicity 3)
P (0.0000, 0.5000, 0.0000) (multiplicity 9)
Pt (0.0076, 0.5038, 0.1249) (multiplicity 18)
Pt (0.0360, 0.5180, 0.3618) (multiplicity 18)